1 | # Hg2MoRu | Alexandria | PBE-GGA | relaxed
data_Hg2MoRu
_cell_length_a 3.002
_cell_length_b 4.866
_cell_length_c 9.845
_cell_angle_alpha 90.00
_cell_angle_beta 90.00
_cell_angle_gamma 90.00
_space_group_name_H-M_alt 'I m m m'
_space_group_IT_number 71
_space_group_name_Hall '-I 2 2'
loop_
_atom_site_label
_atom_site_type_symbol
_atom_site_fract_x
_atom_site_fract_y
_atom_site_fract_z
Hg1 Hg 0.000 0.000 0.244
Mo1 Mo 0.000 0.500 0.000
Ru1 Ru 0.000 0.500 0.500
# M_tot	0.002	Bohr magnetons per cell
# calculated volume	143.8	Å³/cell

2 | # Hg2MoRu | Alexandria | PBE-GGA | relaxed
data_Hg2MoRu
_cell_length_a 2.9553
_cell_length_b 2.9553
_cell_length_c 28.1432
_cell_angle_alpha 90.00
_cell_angle_beta 90.00
_cell_angle_gamma 120.00
_space_group_name_H-M_alt 'R -3 m'
_space_group_IT_number 166
_space_group_name_Hall '-R 3 2"'
loop_
_atom_site_label
_atom_site_type_symbol
_atom_site_fract_x
_atom_site_fract_y
_atom_site_fract_z
Hg1 Hg 0.0000 0.0000 0.2484
Mo1 Mo 0.0000 0.0000 0.0000
Ru1 Ru 0.0000 0.0000 0.5000
# M_tot	0.209	Bohr magnetons per cell
# calculated volume	212.9	Å³/cell

3 | # Hg2MoRu | Alexandria | PBE-GGA | relaxed
data_Hg2MoRu
_cell_length_a 4.046
_cell_length_b 4.058
_cell_length_c 8.677
_cell_angle_alpha 90.00
_cell_angle_beta 90.00
_cell_angle_gamma 90.00
_space_group_name_H-M_alt 'C m m m'
_space_group_IT_number 65
_space_group_name_Hall '-C 2 2'
loop_
_atom_site_label
_atom_site_type_symbol
_atom_site_fract_x
_atom_site_fract_y
_atom_site_fract_z
Hg1 Hg 0.000 0.000 0.244
Mo1 Mo 0.000 0.500 0.500
Ru1 Ru 0.000 0.500 0.000
# M_tot	3.304	Bohr magnetons per cell
# calculated volume	142.5	Å³/cell

Most stable: 2

1 | # Hg2MoRu | Alexandria | PBE-GGA | relaxed
data_Hg2MoRu
_cell_length_a 2.991
_cell_length_b 2.991
_cell_length_c 8.353
_cell_angle_alpha 90.00
_cell_angle_beta 90.00
_cell_angle_gamma 90.00
_space_group_name_H-M_alt 'P 4 m m'
_space_group_IT_number 99
_space_group_name_Hall 'P 4 -2'
loop_
_atom_site_label
_atom_site_type_symbol
_atom_site_fract_x
_atom_site_fract_y
_atom_site_fract_z
Hg1 Hg 0.000 0.000 0.000
Hg2 Hg 0.500 0.500 0.306
Mo1 Mo 0.000 0.000 0.569
Ru1 Ru 0.500 0.500 0.743
# M_tot	0.000	Bohr magnetons per cell
# calculated volume	74.7	Å³/cell

2 | # Hg2MoRu | Alexandria | PBE-GGA | relaxed
data_Hg2MoRu
_cell_length_a 2.849
_cell_length_b 4.764
_cell_length_c 5.364
_cell_angle_alpha 90.00
_cell_angle_beta 100.04
_cell_angle_gamma 90.00
_space_group_name_H-M_alt 'P 1 2/m 1'
_space_group_IT_number 10
_space_group_name_Hall '-P 2y'
loop_
_atom_site_label
_atom_site_type_symbol
_atom_site_fract_x
_atom_site_fract_y
_atom_site_fract_z
Hg1 Hg 0.208 0.000 0.254
Mo1 Mo 0.500 0.500 0.000
Ru1 Ru 0.000 0.500 0.500
# M_tot	0.823	Bohr magnetons per cell
# calculated volume	71.7	Å³/cell

Most stable: 1

1 | # Hg2MoRu | Alexandria | PBE-GGA | relaxed
data_Hg2MoRu
_cell_length_a 9.406
_cell_length_b 2.961
_cell_length_c 5.205
_cell_angle_alpha 90.00
_cell_angle_beta 99.79
_cell_angle_gamma 90.00
_space_group_name_H-M_alt 'C 1 m 1'
_space_group_IT_number 8
_space_group_name_Hall 'C -2y'
loop_
_atom_site_label
_atom_site_type_symbol
_atom_site_fract_x
_atom_site_fract_y
_atom_site_fract_z
Hg1 Hg 0.000 0.000 0.000
Hg2 Hg 0.239 0.000 0.751
Mo1 Mo 0.483 0.000 0.465
Ru1 Ru 0.253 0.500 0.290
# M_tot	0.000	Bohr magnetons per cell
# calculated volume	142.9	Å³/cell

2 | # Hg2MoRu | Alexandria | PBE-GGA | relaxed
data_Hg2MoRu
_cell_length_a 2.973
_cell_length_b 4.931
_cell_length_c 10.108
_cell_angle_alpha 90.00
_cell_angle_beta 90.00
_cell_angle_gamma 90.00
_space_group_name_H-M_alt 'I m m 2'
_space_group_IT_number 44
_space_group_name_Hall 'I 2 -2'
loop_
_atom_site_label
_atom_site_type_symbol
_atom_site_fract_x
_atom_site_fract_y
_atom_site_fract_z
Hg1 Hg 0.000 0.000 0.000
Hg2 Hg 0.000 0.500 0.219
Mo1 Mo 0.000 0.000 0.453
Ru1 Ru 0.000 0.500 0.758
# M_tot	0.000	Bohr magnetons per cell
# calculated volume	148.2	Å³/cell

3 | # Hg2MoRu | Alexandria | PBE-GGA | relaxed
data_Hg2MoRu
_cell_length_a 3.019
_cell_length_b 4.844
_cell_length_c 4.916
_cell_angle_alpha 90.00
_cell_angle_beta 90.00
_cell_angle_gamma 90.00
_space_group_name_H-M_alt 'P m m m'
_space_group_IT_number 47
_space_group_name_Hall '-P 2 2'
loop_
_atom_site_label
_atom_site_type_symbol
_atom_site_fract_x
_atom_site_fract_y
_atom_site_fract_z
Hg1 Hg 0.000 0.000 0.000
Hg2 Hg 0.500 0.500 0.000
Mo1 Mo 0.000 0.500 0.500
Ru1 Ru 0.500 0.000 0.500
# M_tot	0.001	Bohr magnetons per cell
# calculated volume	71.9	Å³/cell

4 | # Hg2MoRu | Alexandria | PBE-GGA | relaxed
data_Hg2MoRu
_cell_length_a 6.580
_cell_length_b 6.580
_cell_length_c 6.580
_cell_angle_alpha 90.00
_cell_angle_beta 90.00
_cell_angle_gamma 90.00
_space_group_name_H-M_alt 'F -4 3 m'
_space_group_IT_number 216
_space_group_name_Hall 'F -4 2 3'
loop_
_atom_site_label
_atom_site_type_symbol
_atom_site_fract_x
_atom_site_fract_y
_atom_site_fract_z
Hg1 Hg 0.000 0.000 0.000
Hg2 Hg 0.250 0.250 0.250
Mo1 Mo 0.000 0.000 0.500
Ru1 Ru 0.250 0.250 0.750
# M_tot	0.000	Bohr magnetons per cell
# calculated volume	284.9	Å³/cell

Most stable: 1

1 | # Hg2MoRu | Alexandria | PBE-GGA | relaxed
data_Hg2MoRu
_cell_length_a 4.070
_cell_length_b 4.070
_cell_length_c 8.589
_cell_angle_alpha 90.00
_cell_angle_beta 90.00
_cell_angle_gamma 90.00
_space_group_name_H-M_alt 'I 4/m m m'
_space_group_IT_number 139
_space_group_name_Hall '-I 4 2'
loop_
_atom_site_label
_atom_site_type_symbol
_atom_site_fract_x
_atom_site_fract_y
_atom_site_fract_z
Hg1 Hg 0.000 0.500 0.250
Mo1 Mo 0.000 0.000 0.000
Ru1 Ru 0.000 0.000 0.500
# M_tot	3.162	Bohr magnetons per cell
# calculated volume	142.3	Å³/cell

2 | # Hg2MoRu | Alexandria | PBE-GGA | relaxed
data_Hg2MoRu
_cell_length_a 4.964
_cell_length_b 4.964
_cell_length_c 2.912
_cell_angle_alpha 90.00
_cell_angle_beta 90.00
_cell_angle_gamma 90.00
_space_group_name_H-M_alt 'P 4/m m m'
_space_group_IT_number 123
_space_group_name_Hall '-P 4 2'
loop_
_atom_site_label
_atom_site_type_symbol
_atom_site_fract_x
_atom_site_fract_y
_atom_site_fract_z
Hg1 Hg 0.000 0.500 0.000
Mo1 Mo 0.000 0.000 0.500
Ru1 Ru 0.500 0.500 0.500
# M_tot	1.722	Bohr magnetons per cell
# calculated volume	71.8	Å³/cell

3 | # Hg2MoRu | Alexandria | PBE-GGA | relaxed
data_Hg2MoRu
_cell_length_a 2.9274
_cell_length_b 2.9274
_cell_length_c 30.0217
_cell_angle_alpha 90.00
_cell_angle_beta 90.00
_cell_angle_gamma 120.00
_space_group_name_H-M_alt 'R 3 m'
_space_group_IT_number 160
_space_group_name_Hall 'R 3 -2"'
loop_
_atom_site_label
_atom_site_type_symbol
_atom_site_fract_x
_atom_site_fract_y
_atom_site_fract_z
Hg1 Hg 0.0000 0.0000 0.0000
Hg2 Hg 0.0000 0.0000 0.2337
Mo1 Mo 0.0000 0.0000 0.7517
Ru1 Ru 0.0000 0.0000 0.4839
# M_tot	0.658	Bohr magnetons per cell
# calculated volume	222.8	Å³/cell

4 | # Hg2MoRu | Alexandria | PBE-GGA | relaxed
data_Hg2MoRu
_cell_length_a 9.616
_cell_length_b 2.997
_cell_length_c 5.005
_cell_angle_alpha 90.00
_cell_angle_beta 101.00
_cell_angle_gamma 90.00
_space_group_name_H-M_alt 'C 1 2/m 1'
_space_group_IT_number 12
_space_group_name_Hall '-C 2y'
loop_
_atom_site_label
_atom_site_type_symbol
_atom_site_fract_x
_atom_site_fract_y
_atom_site_fract_z
Hg1 Hg 0.248 0.000 0.247
Mo1 Mo 0.000 0.000 0.500
Ru1 Ru 0.000 0.500 0.000
# M_tot	0.002	Bohr magnetons per cell
# calculated volume	141.6	Å³/cell

Most stable: 3

1 | # Hg2MoRu | Alexandria | PBE-GGA | relaxed
data_Hg2MoRu
_cell_length_a 3.993
_cell_length_b 3.993
_cell_length_c 4.462
_cell_angle_alpha 90.00
_cell_angle_beta 90.00
_cell_angle_gamma 90.00
_space_group_name_H-M_alt 'P 4/m m m'
_space_group_IT_number 123
_space_group_name_Hall '-P 4 2'
loop_
_atom_site_label
_atom_site_type_symbol
_atom_site_fract_x
_atom_site_fract_y
_atom_site_fract_z
Hg1 Hg 0.000 0.500 0.000
Mo1 Mo 0.000 0.000 0.500
Ru1 Ru 0.500 0.500 0.500
# M_tot	0.004	Bohr magnetons per cell
# calculated volume	71.1	Å³/cell

2 | # Hg2MoRu | Alexandria | PBE-GGA | relaxed
data_Hg2MoRu
_cell_length_a 6.544
_cell_length_b 6.544
_cell_length_c 6.544
_cell_angle_alpha 90.00
_cell_angle_beta 90.00
_cell_angle_gamma 90.00
_space_group_name_H-M_alt 'F m -3 m'
_space_group_IT_number 225
_space_group_name_Hall '-F 4 2 3'
loop_
_atom_site_label
_atom_site_type_symbol
_atom_site_fract_x
_atom_site_fract_y
_atom_site_fract_z
Hg1 Hg 0.250 0.250 0.250
Mo1 Mo 0.000 0.000 0.000
Ru1 Ru 0.000 0.000 0.500
# M_tot	1.227	Bohr magnetons per cell
# calculated volume	280.2	Å³/cell

3 | # Hg2MoRu | Alexandria | PBE-GGA | relaxed
data_Hg2MoRu
_cell_length_a 4.204
_cell_length_b 4.204
_cell_length_c 7.953
_cell_angle_alpha 90.00
_cell_angle_beta 90.00
_cell_angle_gamma 90.00
_space_group_name_H-M_alt 'I -4 m 2'
_space_group_IT_number 119
_space_group_name_Hall 'I -4 -2'
loop_
_atom_site_label
_atom_site_type_symbol
_atom_site_fract_x
_atom_site_fract_y
_atom_site_fract_z
Hg1 Hg 0.000 0.000 0.000
Hg2 Hg 0.000 0.500 0.250
Mo1 Mo 0.000 0.500 0.750
Ru1 Ru 0.000 0.000 0.500
# M_tot	0.004	Bohr magnetons per cell
# calculated volume	140.5	Å³/cell

4 | # Hg2MoRu | Alexandria | PBE-GGA | relaxed
data_Hg2MoRu
_cell_length_a 7.575
_cell_length_b 7.575
_cell_length_c 5.432
_cell_angle_alpha 90.00
_cell_angle_beta 90.00
_cell_angle_gamma 90.00
_space_group_name_H-M_alt 'I -4 2 d'
_space_group_IT_number 122
_space_group_name_Hall 'I -4 2bw'
loop_
_atom_site_label
_atom_site_type_symbol
_atom_site_fract_x
_atom_site_fract_y
_atom_site_fract_z
Hg1 Hg 0.243 0.250 0.125
Mo1 Mo 0.000 0.000 0.500
Ru1 Ru 0.000 0.000 0.000
# M_tot	0.000	Bohr magnetons per cell
# calculated volume	311.7	Å³/cell

Most stable: 3

1 | # HgMoRu | Alexandria | PBE-GGA | relaxed
data_HgMoRu
_cell_length_a 2.977
_cell_length_b 2.977
_cell_length_c 11.644
_cell_angle_alpha 90.00
_cell_angle_beta 90.00
_cell_angle_gamma 90.00
_space_group_name_H-M_alt 'I 4 m m'
_space_group_IT_number 107
_space_group_name_Hall 'I 4 -2'
loop_
_atom_site_label
_atom_site_type_symbol
_atom_site_fract_x
_atom_site_fract_y
_atom_site_fract_z
Hg1 Hg 0.000 0.000 0.000
Mo1 Mo 0.000 0.000 0.690
Ru1 Ru 0.000 0.000 0.315
# M_tot	0.000	Bohr magnetons per cell
# calculated volume	103.2	Å³/cell

2 | # HgMoRu | Alexandria | PBE-GGA | relaxed
data_HgMoRu
_cell_length_a 6.157
_cell_length_b 6.157
_cell_length_c 6.157
_cell_angle_alpha 90.00
_cell_angle_beta 90.00
_cell_angle_gamma 90.00
_space_group_name_H-M_alt 'F -4 3 m'
_space_group_IT_number 216
_space_group_name_Hall 'F -4 2 3'
loop_
_atom_site_label
_atom_site_type_symbol
_atom_site_fract_x
_atom_site_fract_y
_atom_site_fract_z
Hg1 Hg 0.000 0.000 0.000
Mo1 Mo 0.000 0.000 0.500
Ru1 Ru 0.250 0.250 0.750
# M_tot	0.001	Bohr magnetons per cell
# calculated volume	233.4	Å³/cell

Most stable: 1

1 | # HgMoRu | Alexandria | PBE-GGA | relaxed
data_HgMoRu
_cell_length_a 3.037
_cell_length_b 4.712
_cell_length_c 14.410
_cell_angle_alpha 90.00
_cell_angle_beta 90.00
_cell_angle_gamma 90.00
_space_group_name_H-M_alt 'F m m 2'
_space_group_IT_number 42
_space_group_name_Hall 'F 2 -2'
loop_
_atom_site_label
_atom_site_type_symbol
_atom_site_fract_x
_atom_site_fract_y
_atom_site_fract_z
Hg1 Hg 0.000 0.000 0.000
Mo1 Mo 0.000 0.000 0.680
Ru1 Ru 0.000 0.000 0.324
# M_tot	1.366	Bohr magnetons per cell
# calculated volume	206.2	Å³/cell

2 | # HgMoRu | Alexandria | PBE-GGA | relaxed
data_HgMoRu
_cell_length_a 2.8789
_cell_length_b 2.8789
_cell_length_c 7.0673
_cell_angle_alpha 90.00
_cell_angle_beta 90.00
_cell_angle_gamma 120.00
_space_group_name_H-M_alt 'P 3 m 1'
_space_group_IT_number 156
_space_group_name_Hall 'P 3 -2"'
loop_
_atom_site_label
_atom_site_type_symbol
_atom_site_fract_x
_atom_site_fract_y
_atom_site_fract_z
Hg1 Hg 0.0000 0.0000 0.0000
Mo1 Mo 0.3333 0.6667 0.3634
Ru1 Ru 0.6667 0.3333 0.6476
# M_tot	0.000	Bohr magnetons per cell
# calculated volume	50.7	Å³/cell

Most stable: 2

1 | # Hg2Mo2Ru | Alexandria | PBE-GGA | relaxed
data_Hg2Mo2Ru
_cell_length_a 3.580
_cell_length_b 3.580
_cell_length_c 14.952
_cell_angle_alpha 90.00
_cell_angle_beta 90.00
_cell_angle_gamma 90.00
_space_group_name_H-M_alt 'I 4/m m m'
_space_group_IT_number 139
_space_group_name_Hall '-I 4 2'
loop_
_atom_site_label
_atom_site_type_symbol
_atom_site_fract_x
_atom_site_fract_y
_atom_site_fract_z
Hg1 Hg 0.000 0.000 0.096
Mo1 Mo 0.000 0.500 0.250
Ru1 Ru 0.000 0.000 0.500
# M_tot	3.610	Bohr magnetons per cell
# calculated volume	191.6	Å³/cell

2 | # Hg2Mo2Ru | Alexandria | PBE-GGA | relaxed
data_Hg2Mo2Ru
_cell_length_a 7.942
_cell_length_b 7.942
_cell_length_c 3.009
_cell_angle_alpha 90.00
_cell_angle_beta 90.00
_cell_angle_gamma 90.00
_space_group_name_H-M_alt 'P 4/m b m'
_space_group_IT_number 127
_space_group_name_Hall '-P 4 2ab'
loop_
_atom_site_label
_atom_site_type_symbol
_atom_site_fract_x
_atom_site_fract_y
_atom_site_fract_z
Hg1 Hg 0.190 0.310 0.000
Mo1 Mo 0.104 0.604 0.500
Ru1 Ru 0.000 0.000 0.000
# M_tot	2.603	Bohr magnetons per cell
# calculated volume	189.8	Å³/cell

Most stable: 1